A plane-wave DFT calculation with PBE was carried out for crystalline Nd3Te2Br2 at its relaxed geometry.

```
Nd3Te2Br2
1.0
4.271 0.000 0.000
0.000 7.349 -0.378
-2.136 -2.690 7.867
Nd Te Br
3 2 2
Direct
0.000 0.500 0.000
0.247 0.770 0.494
0.753 0.230 0.506
0.387 0.196 0.774
0.613 0.804 0.226
0.138 0.321 0.276
0.862 0.679 0.724
```

Results
The formation energy (no corrections) comes out at -1.440 eV per atom. As for the symmetry: C2/m (12). Its total magnetic moment is 0.00 μB/f.u.